(w)
This record from the Alexandria database describes an optimized crystal structure of TbNdEr3. The functional is PBE.

Output
For the volume, the calculation gives 696.30 Å³ per cell. The value obtained for the density of states at the Fermi level is 7.6 states/eV/f.u.

Unit cell a=3.5947 b=16.8492 c=11.4962 alpha=90.00 beta=90.00 gamma=90.00
Space group Cmcm (No. 63)
One atom of each set of equivalent atoms:
Tb (0.0000, 0.1901, 0.2500) (multiplicity 4)
Nd (0.0000, 0.4844, 0.7500) (multiplicity 4)
Er (0.0000, 0.1508, 0.7500) (multiplicity 4)
Er (0.0000, 0.3407, 0.0007) (multiplicity 8)

=====

(x)
This record from the Alexandria database describes an optimized crystal structure of TbNdEr3. The functional is PBE.

Output
For the volume, the calculation gives 320.11 Å³ per cell. The value obtained for the density of states at the Fermi level is 10.0 states/eV/f.u.

Unit cell a=6.2455 b=5.6697 c=9.5601 alpha=90.00 beta=108.99 gamma=90.00
Space group P2_1/m (No. 11)
One atom of each set of equivalent atoms:
Tb (0.0332, 0.2500, 0.4006) (multiplicity 2)
Nd (0.4311, 0.2500, 0.1999) (multiplicity 2)
Er (0.1649, 0.7500, 0.0000) (multiplicity 2)
Er (0.2335, 0.2500, 0.7994) (multiplicity 2)
Er (0.3653, 0.7500, 0.4005) (multiplicity 2)

=====

Least stable structure: (w)

=====

(w)
This record from the Alexandria database describes an optimized crystal structure of Tb2Nd4Er5. The functional is PBE.

Output
For the volume, the calculation gives 741.47 Å³ per cell. The value obtained for the density of states at the Fermi level is 16.4 states/eV/f.u.

Unit cell a=3.5080 b=9.2103 c=22.9489 alpha=90.00 beta=90.00 gamma=90.00
Space group Immm (No. 71)
One atom of each set of equivalent atoms:
Tb (0.0000, 0.0000, 0.2303) (multiplicity 4)
Nd (0.0000, 0.0000, 0.0962) (multiplicity 4)
Nd (0.0000, 0.2938, 0.5000) (multiplicity 4)
Er (0.0000, 0.1977, 0.3530) (multiplicity 8)
Er (0.0000, 0.5000, 0.0000) (multiplicity 2)

=====

(x)
This record from the Alexandria database describes an optimized crystal structure of Tb2Nd4Er5. The functional is PBE.

Output
For the volume, the calculation gives 718.33 Å³ per cell. The value obtained for the density of states at the Fermi level is 16.4 states/eV/f.u.

Unit cell a=19.1563 b=5.6616 c=6.6241 alpha=90.00 beta=90.90 gamma=90.00
Space group C2/m (No. 12)
One atom of each set of equivalent atoms:
Tb (0.0984, 0.0000, 0.0550) (multiplicity 4)
Nd (0.0212, 0.5000, 0.7856) (multiplicity 4)
Nd (0.1944, 0.0000, 0.5750) (multiplicity 4)
Er (0.0000, 0.0000, 0.5000) (multiplicity 2)
Er (0.1305, 0.5000, 0.3887) (multiplicity 4)
Er (0.2092, 0.5000, 0.9013) (multiplicity 4)

=====

Least stable structure: (w)

=====

(w)
This record from the Alexandria database describes an optimized crystal structure of Tb8Nd2Er. The functional is PBE.

Output
For the volume, the calculation gives 729.47 Å³ per cell. The value obtained for the density of states at the Fermi level is 16.2 states/eV/f.u.

Unit cell a=16.5511 b=6.6898 c=6.6998 alpha=90.00 beta=100.47 gamma=90.00
Space group C2/m (No. 12)
One atom of each set of equivalent atoms:
Tb (0.0883, 0.0000, 0.4078) (multiplicity 4)
Tb (0.0876, 0.2374, 0.9036) (multiplicity 8)
Tb (0.2437, 0.5000, 0.8067) (multiplicity 4)
Nd (0.1979, 0.5000, 0.2980) (multiplicity 4)
Er (0.0000, 0.5000, 0.5000) (multiplicity 2)

=====

(x)
This record from the Alexandria database describes an optimized crystal structure of Tb8Nd2Er. The functional is PBE.

Output
For the volume, the calculation gives 711.93 Å³ per cell. The value obtained for the density of states at the Fermi level is 15.4 states/eV/f.u.

Unit cell a=18.2329 b=5.0565 c=8.0061 alpha=90.00 beta=105.31 gamma=90.00
Space group C2/m (No. 12)
One atom of each set of equivalent atoms:
Tb (0.0446, 0.0000, 0.2280) (multiplicity 4)
Tb (0.0897, 0.5000, 0.9526) (multiplicity 4)
Tb (0.1349, 0.0000, 0.6781) (multiplicity 4)
Tb (0.1810, 0.5000, 0.4084) (multiplicity 4)
Nd (0.2268, 0.0000, 0.1373) (multiplicity 4)
Er (0.0000, 0.5000, 0.5000) (multiplicity 2)

=====

Least stable structure: (w)